Material: Ca2Pm2Pr3
Method: DFT, PBE-GGA
State: optimized geometry

a = 5.254 Å, b = 6.445 Å, c = 9.913 Å
α = 57.55°, β = 74.63°, γ = 65.95°
Fractional coordinates of all 7 atoms:
Ca 0.857 0.857 0.428
Ca 0.143 0.143 0.572
Pm 0.284 0.301 0.131
Pm 0.716 0.699 0.869
Pr 0.429 0.411 0.731
Pr 0.571 0.589 0.269
Pr 0.000 0.000 0.000

---

Material: CaPmPr2
Method: DFT, PBE-GGA
State: optimized geometry

Computed properties:
Polymorph energy (0 for the lowest one): 0.0904 eV/atom

a = 5.922 Å, b = 5.922 Å, c = 5.922 Å
α = 60.00°, β = 60.00°, γ = 60.00°
Fractional coordinates of all 4 atoms:
Pm 0.000 0.000 0.000
Pr 0.750 0.750 0.750
Pr 0.250 0.250 0.250
Ca 0.500 0.500 0.500

---

Material: CaPm10Pr4
Method: DFT, PBE-GGA
State: optimized geometry

a = 7.844 Å, b = 9.186 Å, c = 9.186 Å
α = 79.50°, β = 64.73°, γ = 64.73°
Fractional coordinates of all 15 atoms:
Pr 0.233 0.534 0.000
Pr 0.767 0.466 0.000
Pr 0.233 0.000 0.534
Pr 0.767 0.000 0.466
Pm 0.288 0.213 0.787
Pm 0.501 0.787 0.787
Pm 0.712 0.787 0.213
Pm 0.925 0.787 0.787
Pm 0.712 0.213 0.787
Pm 0.288 0.787 0.213
Pm 0.499 0.213 0.213
Pm 0.075 0.213 0.213
Pm 0.750 0.500 0.500
Pm 0.250 0.500 0.500
Ca 0.000 0.000 0.000

---

Material: CaPm2Pr3
Method: DFT, PBE-GGA
State: optimized geometry

Computed properties:
Polymorph energy (0 for the lowest one): 0.0000 eV/atom

a = 7.396 Å, b = 6.426 Å, c = 12.294 Å
α = 110.46°, β = 89.99°, γ = 125.13°
Fractional coordinates of all 12 atoms:
Pm 0.461 0.673 0.924
Pm 0.212 0.673 0.424
Pm 0.539 0.327 0.076
Pm 0.788 0.327 0.576
Ca 0.875 0.000 0.750
Ca 0.125 0.000 0.250
Pr 0.293 0.336 0.586
Pr 0.043 0.336 0.086
Pr 0.957 0.664 0.914
Pr 0.707 0.664 0.414
Pr 0.375 0.000 0.750
Pr 0.625 0.000 0.250

---

Material: CaPm15Pr4
Method: DFT, PBE-GGA
State: optimized geometry

a = 5.200 Å, b = 5.200 Å, c = 25.931 Å
α = 90.00°, β = 90.00°, γ = 90.00°
Fractional coordinates of all 20 atoms:
Pm 0.500 0.500 0.000
Pm 0.500 0.500 0.400
Pm 0.000 0.500 0.102
Pm 0.500 0.000 0.500
Pm 0.500 0.000 0.301
Pm 0.500 0.000 0.898
Pm 0.500 0.500 0.200
Pm 0.500 0.000 0.699
Pm 0.500 0.500 0.800
Pm 0.000 0.500 0.898
Pm 0.500 0.500 0.600
Pm 0.000 0.500 0.699
Pm 0.500 0.000 0.102
Pm 0.000 0.500 0.301
Pm 0.000 0.500 0.500
Pr 0.000 0.000 0.200
Pr 0.000 0.000 0.600
Pr 0.000 0.000 0.800
Pr 0.000 0.000 0.400
Ca 0.000 0.000 0.000

---

Material: CaPm6Pr4
Method: DFT, PBE-GGA
State: optimized geometry

Computed properties:
Polymorph energy (0 for the lowest one): 0.0331 eV/atom

a = 8.019 Å, b = 8.019 Å, c = 8.704 Å
α = 117.43°, β = 117.43°, γ = 90.00°
Fractional coordinates of all 11 atoms:
Ca 0.500 0.500 0.000
Pr 0.755 0.094 0.849
Pr 0.245 0.245 0.151
Pr 0.906 0.906 0.151
Pr 0.094 0.755 0.849
Pm 0.000 0.500 0.000
Pm 0.054 0.054 0.620
Pm 0.500 0.000 0.000
Pm 0.566 0.566 0.620
Pm 0.946 0.434 0.380
Pm 0.434 0.946 0.380

---

Material: CaPm2Pr
Method: DFT, PBE-GGA
State: optimized geometry

Computed properties:
Polymorph energy (0 for the lowest one): 0.0371 eV/atom

a = 5.277 Å, b = 5.210 Å, c = 5.210 Å
α = 90.00°, β = 90.00°, γ = 90.00°
Fractional coordinates of all 4 atoms:
Pr 0.500 0.500 0.500
Pm 0.000 0.500 0.000
Pm 0.000 0.000 0.500
Ca 0.500 0.000 0.000

---

Material: CaPm2Pr
Method: DFT, PBE-GGA
State: optimized geometry

Computed properties:
Polymorph energy (0 for the lowest one): 0.0063 eV/atom

a = 3.709 Å, b = 3.709 Å, c = 10.596 Å
α = 90.00°, β = 90.00°, γ = 90.00°
Fractional coordinates of all 4 atoms:
Pm 0.000 0.000 0.764
Pm 0.000 0.000 0.236
Pr 0.500 0.500 0.000
Ca 0.500 0.500 0.500

---

Number 1: formation energy from the elements 0.05 eV per atom, volume 36.885 A^3/atom, electronic total energy -3.929 eV per atom. Number 2: formation energy from the elements 0.12 eV per atom, volume 36.708 A^3/atom, electronic total energy -3.960 eV per atom. Number 3: formation energy from the elements 0.27 eV per atom, volume 36.086 A^3/atom, electronic total energy -4.310 eV per atom. Number 4: formation energy from the elements 0.04 eV per atom, volume 36.000 A^3/atom, electronic total energy -4.264 eV per atom. Number 5: formation energy from the elements 0.03 eV per atom, volume 35.056 A^3/atom, electronic total energy -4.592 eV per atom. Number 6: formation energy from the elements 0.38 eV per atom, volume 38.605 A^3/atom, electronic total energy -4.136 eV per atom. Number 7: formation energy from the elements 0.08 eV per atom, volume 35.808 A^3/atom, electronic total energy -3.991 eV per atom. Number 8: formation energy from the elements 0.05 eV per atom, volume 36.433 A^3/atom, electronic total energy -4.022 eV per atom.